{"formula": "AlRe2", "functional": "PBE", "state": "optimized geometry", "e_form_ev_per_atom": -0.0729, "vol_a3_per_atom": 14.878, "lattice_angstrom": [[1.416, -6.925, 0.000], [1.416, 6.925, 0.000], [0.000, 0.000, 4.552]], "species": ["Re", "Re", "Re", "Re", "Al", "Al"], "frac_coords": [[0.108, 0.892, 0.750], [0.556, 0.444, 0.250], [0.444, 0.556, 0.750], [0.892, 0.108, 0.250], [0.226, 0.774, 0.250], [0.774, 0.226, 0.750]]}